Entry 1:
Zn2IO6: relaxed, PBE-GGA.

Output
E_form (uncorrected)   -5.848 eV/f.u.
N(E_F)   7.5 states/eV/f.u.
E   -4.411 eV per atom

a = 4.9456 Å, b = 5.2673 Å, c = 8.5534 Å
α = 90.00°, β = 90.00°, γ = 90.00°
Atoms (fractional coordinates):
Zn1 0.0000 0.0000 0.1960
Zn2 0.0000 0.0000 0.8040
Zn3 0.5000 0.5000 0.3040
Zn4 0.5000 0.5000 0.6960
I1 0.0000 0.5000 0.0000
I2 0.5000 0.0000 0.5000
O1 0.2003 0.1963 0.0000
O2 0.2172 0.6557 0.1590
O3 0.2172 0.6557 0.8410
O4 0.2828 0.1557 0.3410
O5 0.2828 0.1557 0.6590
O6 0.2997 0.6963 0.5000
O7 0.7003 0.3037 0.5000
O8 0.7172 0.8443 0.3410
O9 0.7172 0.8443 0.6590
O10 0.7828 0.3443 0.1590
O11 0.7828 0.3443 0.8410
O12 0.7997 0.8037 0.0000

***

Entry 2:
ZnI2O2: relaxed, PBE-GGA.

Output
E_form (uncorrected)   0.099 eV/f.u.
N(E_F)   2.5 states/eV/f.u.
E   -2.838 eV per atom

a = 4.0835 Å, b = 4.0835 Å, c = 8.3930 Å
α = 90.00°, β = 90.00°, γ = 90.00°
Atoms (fractional coordinates):
Zn1 0.0000 0.0000 0.0000
I1 0.5000 0.5000 0.0000
I2 0.5000 0.5000 0.5000
O1 0.0000 0.5000 0.5000
O2 0.5000 0.0000 0.5000

***

Entry 3:
Zn3IO6: relaxed, PBE-GGA.

Output
E_form (uncorrected)   -9.202 eV/f.u.
E   -4.432 eV per atom

a = 6.2710 Å, b = 6.2710 Å, c = 6.2710 Å
α = 88.87°, β = 88.87°, γ = 88.87°
Atoms (fractional coordinates):
Zn1 0.0227 0.5590 0.7505
Zn2 0.2495 0.9773 0.4410
Zn3 0.4410 0.2495 0.9773
Zn4 0.5590 0.7505 0.0227
Zn5 0.7505 0.0227 0.5590
Zn6 0.9773 0.4410 0.2495
I1 0.0000 0.0000 0.0000
I2 0.5000 0.5000 0.5000
O1 0.0473 0.8912 0.6846
O2 0.1088 0.3154 0.9527
O3 0.2008 0.5415 0.4619
O4 0.3154 0.9527 0.1088
O5 0.4585 0.5381 0.7992
O6 0.4619 0.2008 0.5415
O7 0.5381 0.7992 0.4585
O8 0.5415 0.4619 0.2008
O9 0.6846 0.0473 0.8912
O10 0.7992 0.4585 0.5381
O11 0.8912 0.6846 0.0473
O12 0.9527 0.1088 0.3154

***

Entry 4:
ZrZnI2O: relaxed, PBE-GGA.

Output
E_form (uncorrected)   -1.034 eV/f.u.
N(E_F)   3.8 states/eV/f.u.
E   -3.783 eV per atom

a = 5.7220 Å, b = 5.7220 Å, c = 3.6183 Å
α = 90.00°, β = 90.00°, γ = 90.00°
Atoms (fractional coordinates):
Zr1 0.0000 0.0000 0.0000
Zn1 0.5000 0.5000 0.5000
I1 0.0000 0.5000 0.5000
I2 0.5000 0.0000 0.5000
O1 0.5000 0.5000 0.0000

***

Entry 5:
ZrZnIO2: relaxed, PBE-GGA.

Output
E_form (uncorrected)   -0.927 eV/f.u.
N(E_F)   3.1 states/eV/f.u.
E   -4.443 eV per atom

a = 4.1063 Å, b = 4.1063 Å, c = 5.0441 Å
α = 90.00°, β = 90.00°, γ = 90.00°
Atoms (fractional coordinates):
Zr1 0.0000 0.0000 0.0000
Zn1 0.5000 0.5000 0.5000
I1 0.5000 0.5000 0.0000
O1 0.0000 0.5000 0.5000
O2 0.5000 0.0000 0.5000

***

Entry 6:
ZrZnIO2: relaxed, PBE-GGA.

Output
E_form (uncorrected)   -7.338 eV/f.u.
N(E_F)   1.0 states/eV/f.u.
E   -5.725 eV per atom

a = 4.1176 Å, b = 4.1176 Å, c = 6.2366 Å
α = 90.00°, β = 90.00°, γ = 90.00°
Atoms (fractional coordinates):
Zr1 0.0000 0.0000 0.0000
Zn1 0.5000 0.5000 0.5000
I1 0.0000 0.0000 0.5000
O1 0.0000 0.5000 0.0000
O2 0.5000 0.0000 0.0000